Model 1:
Compound: SbMo2Se
Source: the Alexandria database
Functional: PBE-GGA
Structure: relaxed

Calculated values
space-group type = No. 122
crystal system = tetragonal

Lattice parameters (Å, degrees): 4.412 4.412 9.097 75.96 75.96 90.00
Fractional positions:
Mo 0.875 0.799 0.750
Mo 0.549 0.125 0.250
Mo 0.201 0.625 0.250
Mo 0.375 0.451 0.750
Se 0.250 0.750 0.500
Se 0.500 0.500 0.000
Sb 0.750 0.250 0.500
Sb 0.000 0.000 0.000

---

Model 2:
Compound: SbMo2Se
Source: the Alexandria database
Functional: PBE-GGA
Structure: relaxed

Calculated values
space-group type = No. 10
crystal system = monoclinic

Lattice parameters (Å, degrees): 3.144 5.463 5.549 48.24 90.00 90.00
Fractional positions:
Mo 0.000 0.000 0.000
Mo 0.500 0.500 0.000
Sb 0.500 0.500 0.500
Se 0.000 0.000 0.500

---

Model 3:
Compound: SbMo2Se
Source: the Alexandria database
Functional: PBE-GGA
Structure: relaxed

Calculated values
space-group type = No. 99
crystal system = tetragonal

Lattice parameters (Å, degrees): 3.122 3.122 8.418 90.00 90.00 90.00
Fractional positions:
Se 0.500 0.500 0.844
Mo 0.000 0.000 0.003
Mo 0.500 0.500 0.212
Sb 0.000 0.000 0.441

---

Model 4:
Compound: SbMo2Se
Source: the Alexandria database
Functional: PBE-GGA
Structure: relaxed

Calculated values
space-group type = No. 225
crystal system = cubic

Lattice parameters (Å, degrees): 4.598 4.598 4.598 60.00 60.00 60.00
Fractional positions:
Mo 0.250 0.250 0.250
Mo 0.750 0.750 0.750
Sb 0.500 0.500 0.500
Se 0.000 0.000 0.000

---

Q: Which of them is the least stable? A: model 1.

---

Model 1:
Compound: SbMo2Se
Source: the Alexandria database
Functional: PBE-GGA
Structure: relaxed

Calculated values
space-group type = No. 25
crystal system = orthorhombic

Lattice parameters (Å, degrees): 4.728 3.218 4.824 90.03 90.00 90.00
Fractional positions:
Sb 0.000 0.375 0.496
Se 0.500 0.875 0.794
Mo 0.500 0.375 0.198
Mo 0.000 0.875 0.012

---

Model 2:
Compound: SbMo2Se
Source: the Alexandria database
Functional: PBE-GGA
Structure: relaxed

Calculated values
space-group type = No. 119
crystal system = tetragonal

Lattice parameters (Å, degrees): 4.981 4.981 4.981 129.67 129.67 73.94
Fractional positions:
Mo 0.250 0.750 0.500
Mo 0.000 0.000 0.000
Se 0.750 0.250 0.500
Sb 0.500 0.500 0.000

---

Q: Which of them is the least stable? A: model 2.

---

Model 1:
Compound: SbMo2Se
Source: the Alexandria database
Functional: PBE-GGA
Structure: relaxed

Calculated values
space-group type = No. 8
crystal system = monoclinic

Lattice parameters (Å, degrees): 4.809 4.809 5.157 75.66 75.66 39.78
Fractional positions:
Sb 0.499 0.499 0.540
Se 0.263 0.263 0.124
Mo 0.991 0.991 0.081
Mo 0.746 0.746 0.755

---

Model 2:
Compound: SbMo2Se
Source: the Alexandria database
Functional: PBE-GGA
Structure: relaxed

Calculated values
space-group type = No. 216
crystal system = cubic

Lattice parameters (Å, degrees): 4.684 4.684 4.684 60.00 60.00 60.00
Fractional positions:
Mo 0.750 0.750 0.750
Mo 0.000 0.000 0.000
Sb 0.500 0.500 0.500
Se 0.250 0.250 0.250

---

Model 3:
Compound: SbMo2Se
Source: the Alexandria database
Functional: PBE-GGA
Structure: relaxed

Calculated values
space-group type = No. 123
crystal system = tetragonal

Lattice parameters (Å, degrees): 4.611 4.611 3.221 90.00 90.00 90.00
Fractional positions:
Se 0.000 0.500 0.500
Mo 0.500 0.500 0.000
Mo 0.000 0.000 0.000
Sb 0.500 0.000 0.500

---

Model 4:
Compound: SbMo2Se
Source: the Alexandria database
Functional: PBE-GGA
Structure: relaxed

Calculated values
space-group type = No. 160
crystal system = trigonal

Lattice parameters (Å, degrees): 10.278 10.278 10.278 17.70 17.70 17.70
Fractional positions:
Mo 0.004 0.004 0.004
Mo 0.739 0.739 0.739
Sb 0.477 0.477 0.477
Se 0.280 0.280 0.280

---

Q: Which of them is the least stable? A: model 2.

---

Model 1:
Compound: SbMo2Se
Source: the Alexandria database
Functional: PBE-GGA
Structure: relaxed

Calculated values
space-group type = No. 65
crystal system = orthorhombic

Lattice parameters (Å, degrees): 3.203 3.203 8.383 90.00 90.00 119.95
Fractional positions:
Mo 0.000 0.000 0.984
Mo 0.000 0.000 0.516
Sb 0.500 0.500 0.250
Se 0.500 0.500 0.750

---

Model 2:
Compound: SbMo2Se
Source: the Alexandria database
Functional: PBE-GGA
Structure: relaxed

Calculated values
space-group type = No. 166
crystal system = trigonal

Lattice parameters (Å, degrees): 8.372 8.372 8.372 21.80 21.80 21.80
Fractional positions:
Mo 0.994 0.994 0.994
Mo 0.506 0.506 0.506
Sb 0.750 0.750 0.750
Se 0.250 0.250 0.250

---

Q: Which of them is the least stable? A: model 1.

---

Model 1:
Compound: SbMo2Se
Source: the Alexandria database
Functional: PBE-GGA
Structure: relaxed

Calculated values
space-group type = No. 123
crystal system = tetragonal

Lattice parameters (Å, degrees): 3.223 3.224 6.562 90.00 90.00 90.00
Fractional positions:
Sb 0.500 0.500 0.250
Mo 0.000 0.000 0.982
Mo 0.000 0.000 0.518
Se 0.500 0.500 0.750

---

Model 2:
Compound: SbMo2Se
Source: the Alexandria database
Functional: PBE-GGA
Structure: relaxed

Calculated values
space-group type = No. 44
crystal system = orthorhombic

Lattice parameters (Å, degrees): 6.715 6.715 6.715 150.14 150.43 42.52
Fractional positions:
Mo 0.944 0.944 0.000
Mo 0.219 0.719 0.500
Se 0.793 0.293 0.500
Sb 0.544 0.544 0.000

---

Model 3:
Compound: SbMo2Se
Source: the Alexandria database
Functional: PBE-GGA
Structure: relaxed

Calculated values
space-group type = No. 71
crystal system = orthorhombic

Lattice parameters (Å, degrees): 5.297 5.297 5.297 145.01 119.40 71.93
Fractional positions:
Sb 0.250 0.750 0.500
Se 0.750 0.250 0.500
Mo 0.976 0.976 0.000
Mo 0.524 0.524 0.000

---

Model 4:
Compound: SbMo2Se
Source: the Alexandria database
Functional: PBE-GGA
Structure: relaxed

Calculated values
space-group type = No. 47
crystal system = orthorhombic

Lattice parameters (Å, degrees): 3.357 3.432 6.729 89.96 90.00 90.00
Fractional positions:
Se 0.500 0.750 0.750
Mo 0.000 0.750 0.031
Mo 0.000 0.750 0.469
Sb 0.500 0.250 0.250

---

Q: Which of them is the least stable? A: model 3.

---

Model 1:
Compound: Sb3MoSe
Source: the Alexandria database
Functional: PBE-GGA
Structure: relaxed

Calculated values
space-group type = No. 221
crystal system = cubic

Lattice parameters (Å, degrees): 5.181 5.181 5.181 90.00 90.00 90.00
Fractional positions:
Sb 0.000 0.000 0.500
Sb 0.000 0.500 0.000
Sb 0.500 0.000 0.000
Mo 0.000 0.000 0.000
Se 0.500 0.500 0.500

---

Model 2:
Compound: Sb3MoSe
Source: the Alexandria database
Functional: PBE-GGA
Structure: relaxed

Calculated values
space-group type = No. 221
crystal system = cubic

Lattice parameters (Å, degrees): 5.318 5.318 5.318 90.00 90.00 90.00
Each line ends with the local moment (μB).
Fractional positions:
Sb 0.500 0.000 0.000  -0.10
Sb 0.000 0.500 0.000  -0.15
Sb 0.000 0.000 0.500  -0.15
Mo 0.500 0.500 0.500  3.30
Se 0.000 0.000 0.000  -0.01

---

Q: Which of them is the least stable? A: model 2.

---

Model 1:
Compound: SiSbMo
Source: the Alexandria database
Functional: PBE-GGA
Structure: relaxed

Calculated values
space-group type = No. 107
crystal system = tetragonal

Lattice parameters (Å, degrees): 5.166 5.166 5.166 141.92 141.92 54.95
Fractional positions:
Sb 0.335 0.335 0.000
Si 0.641 0.641 0.000
Mo 0.024 0.024 0.000

---

Model 2:
Compound: SiSbMo
Source: the Alexandria database
Functional: PBE-GGA
Structure: relaxed

Calculated values
space-group type = No. 42
crystal system = orthorhombic

Lattice parameters (Å, degrees): 7.081 6.895 2.978 81.22 74.22 24.56
Fractional positions:
Sb 0.657 0.657 0.343
Si 0.355 0.355 0.645
Mo 0.988 0.988 0.012

---

Model 3:
Compound: SiSbMo
Source: the Alexandria database
Functional: PBE-GGA
Structure: relaxed

Calculated values
space-group type = No. 216
crystal system = cubic

Lattice parameters (Å, degrees): 4.449 4.449 4.449 60.00 60.00 60.00
Each line ends with the local moment (μB).
Fractional positions:
Si 0.500 0.500 0.500  -0.02
Mo 0.750 0.750 0.750  0.91
Sb 0.000 0.000 0.000  -0.01

---

Model 4:
Compound: SiSbMo
Source: the Alexandria database
Functional: PBE-GGA
Structure: relaxed

Calculated values
space-group type = No. 216
crystal system = cubic

Lattice parameters (Å, degrees): 4.362 4.362 4.362 60.00 60.00 60.00
Fractional positions:
Sb 0.500 0.500 0.500
Si 0.750 0.750 0.750
Mo 0.000 0.000 0.000

---

Q: Which of them is the least stable? A: model 4.

---

Model 1:
Compound: SiSbMo
Source: the Alexandria database
Functional: PBE-GGA
Structure: relaxed

Calculated values
space-group type = No. 187
crystal system = hexagonal

Lattice parameters (Å, degrees): 4.294 4.294 3.501 90.00 90.00 120.00
Fractional positions:
Sb 0.667 0.333 0.333
Si 0.333 0.667 0.833
Mo 0.000 0.000 0.833

---

Model 2:
Compound: SiSbMo
Source: the Alexandria database
Functional: PBE-GGA
Structure: relaxed

Calculated values
space-group type = No. 129
crystal system = tetragonal

Lattice parameters (Å, degrees): 3.612 3.612 8.150 90.00 90.00 90.00
Fractional positions:
Mo 0.500 0.000 0.226
Mo 0.000 0.500 0.774
Si 0.000 0.000 0.000
Si 0.500 0.500 0.000
Sb 0.000 0.500 0.376
Sb 0.500 0.000 0.624

---

Q: Which of them is the least stable? A: model 1.

---

Model 1:
Compound: Si2SbMo2
Source: the Alexandria database
Functional: PBE-GGA
Structure: relaxed

Calculated values
space-group type = No. 127
crystal system = tetragonal

Lattice parameters (Å, degrees): 7.215 7.215 3.173 90.00 90.00 90.00
Fractional positions:
Sb 0.000 0.000 0.000
Sb 0.500 0.500 0.000
Si 0.633 0.867 0.500
Si 0.867 0.367 0.500
Si 0.133 0.633 0.500
Si 0.367 0.133 0.500
Mo 0.847 0.653 0.000
Mo 0.153 0.347 0.000
Mo 0.653 0.153 0.000
Mo 0.347 0.847 0.000

---

Model 2:
Compound: Si2SbMo2
Source: the Alexandria database
Functional: PBE-GGA
Structure: relaxed

Calculated values
space-group type = No. 139
crystal system = tetragonal

Lattice parameters (Å, degrees): 3.474 3.474 7.214 76.07 76.07 90.00
Fractional positions:
Si 0.250 0.750 0.500
Si 0.750 0.250 0.500
Mo 0.612 0.612 0.775
Mo 0.388 0.388 0.225
Sb 0.000 0.000 0.000

---

Q: Which of them is the least stable? A: model 1.

---

Model 1:
Compound: SiSbMo3
Source: the Alexandria database
Functional: PBE-GGA
Structure: relaxed

Calculated values
space-group type = No. 221
crystal system = cubic

Lattice parameters (Å, degrees): 4.868 4.868 4.868 90.00 90.00 90.00
Fractional positions:
Mo 0.500 0.000 0.000
Mo 0.000 0.500 0.000
Mo 0.000 0.000 0.500
Si 0.500 0.500 0.500
Sb 0.000 0.000 0.000

---

Model 2:
Compound: SiSbMo3
Source: the Alexandria database
Functional: PBE-GGA
Structure: relaxed

Calculated values
space-group type = No. 221
crystal system = cubic

Lattice parameters (Å, degrees): 4.529 4.529 4.529 90.00 90.00 90.00
Fractional positions:
Mo 0.500 0.000 0.000
Mo 0.000 0.000 0.500
Mo 0.000 0.500 0.000
Sb 0.500 0.500 0.500
Si 0.000 0.000 0.000

---

Q: Which of them is the least stable? A: model 1.

---

Model 1:
Compound: SiSb2TeMo
Source: the Alexandria database
Functional: PBE-GGA
Structure: relaxed

Calculated values
space-group type = No. 123
crystal system = tetragonal

Lattice parameters (Å, degrees): 5.265 5.265 5.197 90.00 90.00 90.00
Each line ends with the local moment (μB).
Fractional positions:
Si 0.500 0.500 0.500  0.26
Te 0.000 0.000 0.500  -0.05
Sb 0.500 0.000 0.000  -0.05
Sb 0.000 0.500 0.000  -0.05
Mo 0.000 0.000 0.000  0.53

---

Model 2:
Compound: SiSb2TeMo
Source: the Alexandria database
Functional: PBE-GGA
Structure: relaxed

Calculated values
space-group type = No. 123
crystal system = tetragonal

Lattice parameters (Å, degrees): 5.127 5.127 5.175 90.00 90.00 90.00
Each line ends with the local moment (μB).
Fractional positions:
Sb 0.500 0.000 0.000  -0.13
Sb 0.000 0.500 0.000  -0.13
Te 0.000 0.000 0.500  -0.12
Mo 0.500 0.500 0.500  3.18
Si 0.000 0.000 0.000  -0.02

---

Q: Which of them is the least stable? A: model 2.